Np2SnS4 | PBE | optimized geometry

Results
Total magnetic moment, Bohr magnetons per cell: 16.00
Crystal system: monoclinic
E above lowest polymorph, eV/f.u.: 0.000

a b c (Å): 15.2815 3.9913 6.9651
angles (deg): 90.00 116.47 90.00
With the nearest neighbours (Å) after each atom.
Space group C2/m (No. 12)
Inequivalent atoms, fractional coordinates:
Np1 0.2330 0.0000 0.2303 (multiplicity 4)  6 S 2.71-2.79
Sn1 0.0000 0.5000 0.5000 (multiplicity 2)  6 S 2.91-3.00
S1 0.1381 0.5000 0.9520 (multiplicity 4)  3 Np 2.71-2.78, 1 Sn 2.91
S2 0.1468 0.0000 0.5002 (multiplicity 4)  3 Np 2.73-2.79, 2 Sn 3.00